# 1
Compound: ReAsIrO
Source: the Open Quantum Materials Database
Functional: GGA-PBE
Structure: relaxed

The polymorph energy (0 for the lowest one) comes out at 0.84 eV/f.u. The mass density is 13.2 g/cm3.

Cell: 4.214 5.438 5.153 Å, 90.00 90.00 90.00°
Space group Pmc2_1 (No. 26)
Symmetry-distinct sites (fractional):
Re (0.000, 0.079, 0.000) (multiplicity 2)
As (0.500, 0.314, 0.821) (multiplicity 2)
Ir (0.500, 0.203, 0.332) (multiplicity 2)
O (0.000, 0.274, 0.345) (multiplicity 2)

---

# 2
Compound: SbAsIrO
Source: the Open Quantum Materials Database
Functional: GGA-PBE
Structure: relaxed

The polymorph energy (0 for the lowest one) comes out at 0.00 eV/f.u. The mass density is 9.6 g/cm3.

Cell: 3.966 3.966 8.915 Å, 90.00 90.00 90.00°
Space group P4/nmm (No. 129, origin choice 2)
Symmetry-distinct sites (fractional):
Sb (0.250, 0.250, 0.131) (multiplicity 2)
As (0.250, 0.250, 0.665) (multiplicity 2)
Ir (0.250, 0.750, 0.500) (multiplicity 2)
O (0.250, 0.750, 0.000) (multiplicity 2)

---

# 3
Compound: SbAsIrO
Source: the Open Quantum Materials Database
Functional: GGA-PBE
Structure: relaxed

The polymorph energy (0 for the lowest one) comes out at 3.69 eV/f.u. The mass density is 9.2 g/cm3.

Cell: 4.214 4.214 8.266 Å, 90.00 90.00 90.00°
Space group P4/nmm (No. 129, origin choice 2)
Symmetry-distinct sites (fractional):
Sb (0.250, 0.750, 0.000) (multiplicity 2)
As (0.250, 0.250, 0.269) (multiplicity 2)
Ir (0.250, 0.250, 0.564) (multiplicity 2)
O (0.250, 0.750, 0.500) (multiplicity 2)

---

# 4
Compound: SbAsIrO
Source: the Open Quantum Materials Database
Functional: GGA-PBE
Structure: relaxed

The polymorph energy (0 for the lowest one) comes out at 1.72 eV/f.u. The mass density is 8.6 g/cm3.

Cell: 4.056 5.618 6.846 Å, 90.00 90.00 90.00°
Space group Pmc2_1 (No. 26)
Symmetry-distinct sites (fractional):
Sb (0.000, 0.090, 0.000) (multiplicity 2)
As (0.500, 0.310, 0.779) (multiplicity 2)
Ir (0.500, 0.305, 0.433) (multiplicity 2)
O (0.000, 0.253, 0.377) (multiplicity 2)

---

DFT total energy / eV/cell: -61.9, -48.7, -41.3, -45.3